# Tb2SnO2, optimized geometry, DFT GGA-PBE
data_Tb2SnO2
_space_group_name_H-M_alt 'P 1'
_space_group_IT_number 1
_space_group_name_Hall 'P 1'
_cell_length_a 3.841
_cell_length_b 3.841
_cell_length_c 7.557
_cell_angle_alpha 104.72
_cell_angle_beta 104.72
_cell_angle_gamma 90.00
loop_
_atom_site_label
_atom_site_type_symbol
_atom_site_fract_x
_atom_site_fract_y
_atom_site_fract_z
O1 O 0.250 0.750 0.500
O2 O 0.750 0.250 0.500
Tb1 Tb 0.331 0.331 0.662
Sn1 Sn 0.000 0.000 0.000
Tb2 Tb 0.669 0.669 0.338
# ΔE_f (raw) ... -2574 meV/atom
# Total energy ... -7.2104 eV/atom

=====

# Sc6Hg5Rh, optimized geometry, DFT GGA-PBE
data_Sc6Hg5Rh
_space_group_name_H-M_alt 'P 1'
_space_group_IT_number 1
_space_group_name_Hall 'P 1'
_cell_length_a 4.894
_cell_length_b 7.040
_cell_length_c 7.700
_cell_angle_alpha 90.00
_cell_angle_beta 71.47
_cell_angle_gamma 90.00
loop_
_atom_site_label
_atom_site_type_symbol
_atom_site_fract_x
_atom_site_fract_y
_atom_site_fract_z
Rh1 Rh 0.000 0.000 0.000
Sc1 Sc 0.158 0.240 0.684
Sc2 Sc 0.500 0.233 0.000
Sc3 Sc 0.842 0.760 0.316
Sc4 Sc 0.500 0.767 0.000
Hg1 Hg 0.328 0.000 0.343
Hg2 Hg 0.000 0.500 0.000
Sc5 Sc 0.158 0.760 0.684
Hg3 Hg 0.670 0.500 0.660
Sc6 Sc 0.842 0.240 0.316
Hg4 Hg 0.672 0.000 0.657
Hg5 Hg 0.330 0.500 0.340
# Calculated formation energy ... -0.506 eV/atom
# Total energy ... -4.4102 eV/atom

=====

# BeTlCd, optimized geometry, DFT GGA-PBE
data_BeTlCd
_space_group_name_H-M_alt 'P 1'
_space_group_IT_number 1
_space_group_name_Hall 'P 1'
_cell_length_a 6.834
_cell_length_b 6.856
_cell_length_c 6.166
_cell_angle_alpha 152.32
_cell_angle_beta 152.24
_cell_angle_gamma 37.77
loop_
_atom_site_label
_atom_site_type_symbol
_atom_site_fract_x
_atom_site_fract_y
_atom_site_fract_z
Cd1 Cd 0.415 0.405 0.076
Tl1 Tl 0.640 0.662 0.001
Be1 Be 0.945 0.932 0.923
# Calculated formation energy ... 0.444 eV/atom
# Total energy ... -1.8914 eV/atom

=====

# PrYErAg, optimized geometry, DFT GGA-PBE
data_PrYErAg
_space_group_name_H-M_alt 'P 1'
_space_group_IT_number 1
_space_group_name_Hall 'P 1'
_cell_length_a 3.628
_cell_length_b 3.628
_cell_length_c 8.802
_cell_angle_alpha 90.00
_cell_angle_beta 90.00
_cell_angle_gamma 90.00
loop_
_atom_site_label
_atom_site_type_symbol
_atom_site_fract_x
_atom_site_fract_y
_atom_site_fract_z
Er1 Er 0.500 0.500 0.367
Ag1 Ag 0.000 0.000 0.565
Y1 Y 0.500 0.500 0.777
Pr1 Pr 0.000 0.000 0.075
# Calculated formation energy ... -0.140 eV/atom
# Total energy ... -4.8041 eV/atom